# GGA-PBE Ho2PdO4, optimized geometry
# raw total energy: -7.425 eV per atom
data_Ho2PdO4
_chemical_formula_sum 'Ho8 Pd4 O16'
_symmetry_space_group_name_H-M 'C 1 2/m 1'
_symmetry_Int_Tables_number 12
_symmetry_space_group_name_Hall '-C 2y'
_cell_length_a 13.3132
_cell_length_b 3.5614
_cell_length_c 9.8274
_cell_angle_alpha 90.00
_cell_angle_beta 123.36
_cell_angle_gamma 90.00
loop_
_atom_site_label
_atom_site_fract_x
_atom_site_fract_y
_atom_site_fract_z
Ho1 0.1170 0.0000 0.4527
Ho2 0.1704 0.5000 0.8018
Pd1 0.0978 0.5000 0.1411
O1 0.0288 0.5000 0.2708
O2 0.0851 0.0000 0.6528
O3 0.1937 0.5000 0.0472
O4 0.2366 0.5000 0.6149